Material: La2YHo2
Method: DFT, GGA-PBE
State: relaxed

Structure (extended XYZ):
```
10
Lattice="-2.519 -5.662 -1.323 3.523 3.613 -6.992 5.359 -3.086 3.003" Properties=species:S:1:pos:R:3 pbc="T T T"
Ho 6.111 -1.701 -1.926
Ho 3.334 -4.071 -1.674
Ho 0.251 -3.434 -3.387
Ho 3.029 -1.064 -3.640
Y 0.291 -3.130 0.200
Y 2.549 -5.619 1.480
La 1.052 -1.922 -6.489
La 3.040 -0.751 -0.111
La 3.323 -4.384 -5.202
La 5.311 -3.213 1.176
```

Summary:
* SG: C2/c, No. 15
* energy above the lowest structure with this stoichiometry: 0.0000 eV/atom
* total DFT energy (no corrections): -25.348 eV per formula unit
* energy of formation: 25 meV per atom
* DOS(E_F): 16.1 states/eV per cell

***

Material: LaY5Ho
Method: DFT, GGA-PBE
State: relaxed

Structure (extended XYZ):
```
14
Lattice="6.771 -0.172 -1.687 -2.076 8.175 -1.335 0.185 0.457 8.525" Properties=species:S:1:pos:R:3 pbc="T T T"
Ho 2.440 4.230 2.752
Ho 0.000 0.000 0.000
Y -0.031 1.491 3.103
Y -0.512 6.045 1.212
Y 2.744 6.399 -0.194
Y 4.910 6.969 2.401
Y 3.001 0.926 1.965
Y 2.135 2.061 5.697
Y 1.878 7.534 3.538
Y 3.985 5.235 5.546
Y 0.895 3.225 -0.042
Y 5.392 2.415 4.291
La 0.486 5.708 5.895
La 4.393 2.753 -0.392
```

Summary:
* SG: C2/c, No. 15
* total DFT energy (no corrections): -40.469 eV per formula unit
* energy of formation: 194 meV per atom
* DOS(E_F): 22.0 states/eV per cell

***

Material: La3Y3Ho2
Method: DFT, GGA-PBE
State: relaxed

Structure (extended XYZ):
```
8
Lattice="-1.816 -4.672 3.087 -3.839 -1.335 -4.279 8.276 -1.426 -2.903" Properties=species:S:1:pos:R:3 pbc="T T T"
La 1.923 -3.793 -4.609
La -2.828 -3.004 -0.596
La 0.697 -3.640 0.515
Ho 2.685 -2.185 -1.728
Ho -0.065 -5.248 -2.367
Y 0.000 0.000 0.000
Y -0.546 -1.786 -3.024
Y 3.166 -5.647 -1.070
```

Summary:
* SG: C2/m, No. 12
* energy above the lowest structure with this stoichiometry: 0.0797 eV/atom
* total DFT energy (no corrections): -42.421 eV per formula unit
* energy of formation: 114 meV per atom
* DOS(E_F): 16.3 states/eV per cell